a:
# PBE Te2AsWN, relaxed
data_Te2AsWN
_chemical_formula_sum 'Te2 As1 W1 N1'
_space_group_name_H-M_alt 'P 4/m m m'
_space_group_IT_number 123
_space_group_name_Hall '-P 4 2'
_cell_length_a 5.424
_cell_length_b 5.424
_cell_length_c 3.813
_cell_angle_alpha 90.00
_cell_angle_beta 90.00
_cell_angle_gamma 90.00
loop_
_atom_site_label
_atom_site_fract_x
_atom_site_fract_y
_atom_site_fract_z
Te1 0.000 0.500 0.000
As1 0.000 0.000 0.500
W1 0.500 0.500 0.000
N1 0.500 0.500 0.500
# Density of states at the Fermi level, states/eV/f.u.: 3.17
# V, A^3/atom: 22.44


b:
# PBE Te2AsWN, relaxed
data_Te2AsWN
_chemical_formula_sum 'Te2 As1 W1 N1'
_space_group_name_H-M_alt 'P 4/m m m'
_space_group_IT_number 123
_space_group_name_Hall '-P 4 2'
_cell_length_a 5.471
_cell_length_b 5.471
_cell_length_c 3.559
_cell_angle_alpha 90.00
_cell_angle_beta 90.00
_cell_angle_gamma 90.00
loop_
_atom_site_label
_atom_site_fract_x
_atom_site_fract_y
_atom_site_fract_z
Te1 0.000 0.500 0.000
As1 0.000 0.000 0.000
W1 0.500 0.500 0.500
N1 0.000 0.000 0.500
# Density of states at the Fermi level, states/eV/f.u.: 3.45
# V, A^3/atom: 21.30


Which one sits at the top of the stability order? a does.


a:
# PBE Th2AsN2, relaxed
data_Th2AsN2
_chemical_formula_sum 'Th16 As8 N16'
_space_group_name_H-M_alt 'F d d d'
_space_group_IT_number 70
_cell_length_a 7.697
_cell_length_b 10.006
_cell_length_c 10.876
_cell_angle_alpha 90.00
_cell_angle_beta 90.00
_cell_angle_gamma 90.00
loop_
_space_group_symop_operation_xyz
'x,y,z'
'-x,-y,-z'
'-x+1/4,-y+1/4,z'
'x+1/4,y+1/4,-z'
'x,-y+1/4,-z+1/4'
'-x,y+1/4,z+1/4'
'-x+1/4,y,-z+1/4'
'x+1/4,-y,z+1/4'
'x,y+1/2,z+1/2'
'-x,-y+1/2,-z+1/2'
'-x+1/4,-y+3/4,z+1/2'
'x+1/4,y+3/4,-z+1/2'
'x,-y+3/4,-z+3/4'
'-x,y+3/4,z+3/4'
'-x+1/4,y+1/2,-z+3/4'
'x+1/4,-y+1/2,z+3/4'
'x+1/2,y,z+1/2'
'-x+1/2,-y,-z+1/2'
'-x+3/4,-y+1/4,z+1/2'
'x+3/4,y+1/4,-z+1/2'
'x+1/2,-y+1/4,-z+3/4'
'-x+1/2,y+1/4,z+3/4'
'-x+3/4,y,-z+3/4'
'x+3/4,-y,z+3/4'
'x+1/2,y+1/2,z'
'-x+1/2,-y+1/2,-z'
'-x+3/4,-y+3/4,z'
'x+3/4,y+3/4,-z'
'x+1/2,-y+3/4,-z+1/4'
'-x+1/2,y+3/4,z+1/4'
'-x+3/4,y+1/2,-z+1/4'
'x+3/4,-y+1/2,z+1/4'
loop_
_atom_site_label
_atom_site_fract_x
_atom_site_fract_y
_atom_site_fract_z
Th1 0.125 0.316 0.125
As1 0.125 0.125 0.625
N1 0.125 0.125 0.257
# Density of states at the Fermi level, states/eV/f.u.: 4.67
# V, A^3/atom: 20.94


b:
# PBE Th2AsN2, relaxed
data_Th2AsN2
_chemical_formula_sum 'Th4 As2 N4'
_space_group_name_H-M_alt 'A m m 2'
_space_group_IT_number 38
_cell_length_a 4.122
_cell_length_b 4.035
_cell_length_c 13.387
_cell_angle_alpha 90.00
_cell_angle_beta 90.00
_cell_angle_gamma 90.00
loop_
_space_group_symop_operation_xyz
'x,y,z'
'-x,-y,z'
'-x,y,z'
'x,-y,z'
'x,y+1/2,z+1/2'
'-x,-y+1/2,z+1/2'
'-x,y+1/2,z+1/2'
'x,-y+1/2,z+1/2'
loop_
_atom_site_label
_atom_site_fract_x
_atom_site_fract_y
_atom_site_fract_z
Th1 0.000 0.000 0.000
Th2 0.500 0.000 0.327
As1 0.000 0.000 0.688
N1 0.000 0.000 0.413
N2 0.500 0.000 0.921
# Density of states at the Fermi level, states/eV/f.u.: 5.24
# V, A^3/atom: 22.26


Which one sits at the top of the stability order? b does.


a:
# PBE Th2AsN, relaxed
data_Th2AsN
_chemical_formula_sum 'Th6 As3 N3'
_space_group_name_H-M_alt 'R 3 m'
_space_group_IT_number 160
_space_group_name_Hall 'R 3 -2"'
_cell_length_a 3.7780
_cell_length_b 3.7780
_cell_length_c 21.4834
_cell_angle_alpha 90.00
_cell_angle_beta 90.00
_cell_angle_gamma 120.00
loop_
_atom_site_label
_atom_site_fract_x
_atom_site_fract_y
_atom_site_fract_z
Th1 0.0000 0.0000 0.0000
Th2 0.0000 0.0000 0.1523
As1 0.0000 0.0000 0.5764
N1 0.0000 0.0000 0.7491
# Density of states at the Fermi level, states/eV/f.u.: 2.48
# V, A^3/atom: 22.13


b:
# PBE Th2AsN, relaxed
data_Th2AsN
_chemical_formula_sum 'Th6 As3 N3'
_space_group_name_H-M_alt 'R -3 m'
_space_group_IT_number 166
_space_group_name_Hall '-R 3 2"'
_cell_length_a 3.8945
_cell_length_b 3.8945
_cell_length_c 20.0045
_cell_angle_alpha 90.00
_cell_angle_beta 90.00
_cell_angle_gamma 120.00
loop_
_atom_site_label
_atom_site_fract_x
_atom_site_fract_y
_atom_site_fract_z
Th1 0.0000 0.0000 0.2351
As1 0.0000 0.0000 0.0000
N1 0.0000 0.0000 0.5000
# Density of states at the Fermi level, states/eV/f.u.: 0.73
# V, A^3/atom: 21.90


Which one sits at the top of the stability order? b does.


a:
# PBE ThAsN, relaxed
data_ThAsN
_chemical_formula_sum 'Th2 As2 N2'
_space_group_name_H-M_alt 'P -1'
_space_group_IT_number 2
_cell_length_a 4.023
_cell_length_b 4.157
_cell_length_c 7.651
_cell_angle_alpha 94.59
_cell_angle_beta 90.12
_cell_angle_gamma 90.00
loop_
_space_group_symop_operation_xyz
'x,y,z'
'-x,-y,-z'
loop_
_atom_site_label
_atom_site_fract_x
_atom_site_fract_y
_atom_site_fract_z
Th1 0.249 0.230 0.349
As1 0.250 0.321 0.947
N1 0.250 0.750 0.495
# Density of states at the Fermi level, states/eV/f.u.: 0.03
# V, A^3/atom: 21.26


b:
# PBE ThAsN, relaxed
data_ThAsN
_chemical_formula_sum 'Th16 As16 N16'
_space_group_name_H-M_alt 'F m m m'
_space_group_IT_number 69
_space_group_name_Hall '-F 2 2'
_cell_length_a 5.562
_cell_length_b 16.507
_cell_length_c 16.535
_cell_angle_alpha 90.00
_cell_angle_beta 90.00
_cell_angle_gamma 90.00
loop_
_atom_site_label
_atom_site_fract_x
_atom_site_fract_y
_atom_site_fract_z
Th1 0.000 0.126 0.126
As1 0.000 0.197 0.303
N1 0.000 0.000 0.149
N2 0.000 0.150 0.000
# Density of states at the Fermi level, states/eV/f.u.: 1.85
# V, A^3/atom: 31.63


c:
# PBE ThAsN, relaxed
data_ThAsN
_chemical_formula_sum 'Th2 As2 N2'
_space_group_name_H-M_alt 'I 4 m m'
_space_group_IT_number 107
_space_group_name_Hall 'I 4 -2'
_cell_length_a 3.360
_cell_length_b 3.360
_cell_length_c 11.397
_cell_angle_alpha 90.00
_cell_angle_beta 90.00
_cell_angle_gamma 90.00
loop_
_atom_site_label
_atom_site_fract_x
_atom_site_fract_y
_atom_site_fract_z
Th1 0.000 0.000 0.000
As1 0.000 0.000 0.286
N1 0.000 0.000 0.543
# Density of states at the Fermi level, states/eV/f.u.: 1.95
# V, A^3/atom: 21.44


Which one sits at the top of the stability order? a does.


a:
# PBE Ti2AsN, relaxed
data_Ti2AsN
_chemical_formula_sum 'Ti8 As4 N4'
_space_group_name_H-M_alt 'F m -3 m'
_space_group_IT_number 225
_space_group_name_Hall '-F 4 2 3'
_cell_length_a 5.961
_cell_length_b 5.961
_cell_length_c 5.961
_cell_angle_alpha 90.00
_cell_angle_beta 90.00
_cell_angle_gamma 90.00
loop_
_atom_site_label
_atom_site_fract_x
_atom_site_fract_y
_atom_site_fract_z
Ti1 0.250 0.250 0.250
As1 0.000 0.000 0.000
N1 0.000 0.000 0.500
# Density of states at the Fermi level, states/eV/f.u.: 4.66
# V, A^3/atom: 13.24


b:
# PBE Ti2AsN, relaxed
data_Ti2AsN
_chemical_formula_sum 'Ti8 As4 N4'
_space_group_name_H-M_alt 'I -4 2 d'
_space_group_IT_number 122
_space_group_name_Hall 'I -4 2bw'
_cell_length_a 5.235
_cell_length_b 5.235
_cell_length_c 9.810
_cell_angle_alpha 90.00
_cell_angle_beta 90.00
_cell_angle_gamma 90.00
loop_
_atom_site_label
_atom_site_fract_x
_atom_site_fract_y
_atom_site_fract_z
Ti1 0.165 0.250 0.125
As1 0.000 0.000 0.500
N1 0.000 0.000 0.000
# Density of states at the Fermi level, states/eV/f.u.: 2.80
# V, A^3/atom: 16.80


c:
# PBE Ti2AsN, relaxed
data_Ti2AsN
_chemical_formula_sum 'Ti6 As3 N3'
_space_group_name_H-M_alt 'R -3 m'
_space_group_IT_number 166
_space_group_name_Hall '-R 3 2"'
_cell_length_a 3.2090
_cell_length_b 3.2090
_cell_length_c 17.7441
_cell_angle_alpha 90.00
_cell_angle_beta 90.00
_cell_angle_gamma 120.00
loop_
_atom_site_label
_atom_site_fract_x
_atom_site_fract_y
_atom_site_fract_z
Ti1 0.0000 0.0000 0.2260
As1 0.0000 0.0000 0.0000
N1 0.0000 0.0000 0.5000
# Density of states at the Fermi level, states/eV/f.u.: 1.69
# V, A^3/atom: 13.19


d:
# PBE Ti2AsN, relaxed
data_Ti2AsN
_chemical_formula_sum 'Ti6 As3 N3'
_space_group_name_H-M_alt 'R 3 m'
_space_group_IT_number 160
_space_group_name_Hall 'R 3 -2"'
_cell_length_a 3.1802
_cell_length_b 3.1802
_cell_length_c 17.7962
_cell_angle_alpha 90.00
_cell_angle_beta 90.00
_cell_angle_gamma 120.00
loop_
_atom_site_label
_atom_site_fract_x
_atom_site_fract_y
_atom_site_fract_z
Ti1 0.0000 0.0000 0.0000
Ti2 0.0000 0.0000 0.2092
As1 0.0000 0.0000 0.4383
N1 0.0000 0.0000 0.6077
# Density of states at the Fermi level, states/eV/f.u.: 0.85
# V, A^3/atom: 12.99


Which one sits at the top of the stability order? d does.


a:
# PBE TlAsN, relaxed
data_TlAsN
_chemical_formula_sum 'Tl2 As2 N2'
_space_group_name_H-M_alt 'P -1'
_space_group_IT_number 2
_cell_length_a 3.821
_cell_length_b 5.262
_cell_length_c 7.328
_cell_angle_alpha 74.18
_cell_angle_beta 89.95
_cell_angle_gamma 89.24
loop_
_space_group_symop_operation_xyz
'x,y,z'
'-x,-y,-z'
loop_
_atom_site_label
_atom_site_fract_x
_atom_site_fract_y
_atom_site_fract_z
Tl1 0.245 0.299 0.359
As1 0.248 0.118 0.883
N1 0.251 0.983 0.688
# Density of states at the Fermi level, states/eV/f.u.: 1.23
# V, A^3/atom: 23.63


b:
# PBE TlAsN, relaxed
data_TlAsN
_chemical_formula_sum 'Tl2 As2 N2'
_space_group_name_H-M_alt 'P 1'
_space_group_IT_number 1
_cell_length_a 4.721
_cell_length_b 5.153
_cell_length_c 6.533
_cell_angle_alpha 81.29
_cell_angle_beta 88.05
_cell_angle_gamma 89.95
loop_
_space_group_symop_operation_xyz
'x,y,z'
loop_
_atom_site_label
_atom_site_fract_x
_atom_site_fract_y
_atom_site_fract_z
Tl1 0.000 0.000 0.000
Tl2 0.478 0.896 0.528
As1 0.035 0.368 0.412
As2 0.443 0.425 0.118
N1 0.239 0.665 0.264
N2 0.739 0.253 0.265
# V, A^3/atom: 26.17


Which one sits at the top of the stability order? b does.


a:
# PBE TlAsN2, relaxed
data_TlAsN2
_chemical_formula_sum 'Tl3 As3 N6'
_space_group_name_H-M_alt 'R -3 m'
_space_group_IT_number 166
_space_group_name_Hall '-R 3 2"'
_cell_length_a 3.6131
_cell_length_b 3.6131
_cell_length_c 18.4319
_cell_angle_alpha 90.00
_cell_angle_beta 90.00
_cell_angle_gamma 120.00
loop_
_atom_site_label
_atom_site_fract_x
_atom_site_fract_y
_atom_site_fract_z
Tl1 0.0000 0.0000 0.0000
As1 0.0000 0.0000 0.5000
N1 0.0000 0.0000 0.4022
# Density of states at the Fermi level, states/eV/f.u.: 1.52
# V, A^3/atom: 17.36


b:
# PBE TlAsN2, relaxed
data_TlAsN2
_chemical_formula_sum 'Tl4 As4 N8'
_space_group_name_H-M_alt 'F m -3 m'
_space_group_IT_number 225
_space_group_name_Hall '-F 4 2 3'
_cell_length_a 5.984
_cell_length_b 5.984
_cell_length_c 5.984
_cell_angle_alpha 90.00
_cell_angle_beta 90.00
_cell_angle_gamma 90.00
loop_
_atom_site_label
_atom_site_fract_x
_atom_site_fract_y
_atom_site_fract_z
Tl1 0.000 0.000 0.000
As1 0.000 0.000 0.500
N1 0.250 0.250 0.250
# Density of states at the Fermi level, states/eV/f.u.: 2.07
# V, A^3/atom: 13.39


c:
# PBE TlAsN2, relaxed
data_TlAsN2
_chemical_formula_sum 'Tl3 As3 N6'
_space_group_name_H-M_alt 'R -3 m'
_space_group_IT_number 166
_space_group_name_Hall '-R 3 2"'
_cell_length_a 3.0259
_cell_length_b 3.0259
_cell_length_c 21.2706
_cell_angle_alpha 90.00
_cell_angle_beta 90.00
_cell_angle_gamma 120.00
loop_
_atom_site_label
_atom_site_fract_x
_atom_site_fract_y
_atom_site_fract_z
Tl1 0.0000 0.0000 0.0000
As1 0.0000 0.0000 0.5000
N1 0.0000 0.0000 0.1192
# Density of states at the Fermi level, states/eV/f.u.: 0.85
# V, A^3/atom: 14.06


d:
# PBE TlAsN2, relaxed
data_TlAsN2
_chemical_formula_sum 'Tl4 As4 N8'
_space_group_name_H-M_alt 'I -4 2 d'
_space_group_IT_number 122
_space_group_name_Hall 'I -4 2bw'
_cell_length_a 5.790
_cell_length_b 5.790
_cell_length_c 7.623
_cell_angle_alpha 90.00
_cell_angle_beta 90.00
_cell_angle_gamma 90.00
loop_
_atom_site_label
_atom_site_fract_x
_atom_site_fract_y
_atom_site_fract_z
Tl1 0.000 0.000 0.000
As1 0.000 0.000 0.500
N1 0.109 0.750 0.625
# Density of states at the Fermi level, states/eV/f.u.: 0.00
# V, A^3/atom: 15.98


Which one sits at the top of the stability order? d does.


a:
# PBE UAsN, relaxed
data_UAsN
_chemical_formula_sum 'U2 As2 N2'
_space_group_name_H-M_alt 'P 63/m m c'
_space_group_IT_number 194
_space_group_name_Hall '-P 6c 2c'
_cell_length_a 3.7474
_cell_length_b 3.7474
_cell_length_c 8.4339
_cell_angle_alpha 90.00
_cell_angle_beta 90.00
_cell_angle_gamma 120.00
loop_
_atom_site_label
_atom_site_fract_x
_atom_site_fract_y
_atom_site_fract_z
U1 0.3333 0.6667 0.2500
As1 0.0000 0.0000 0.0000
N1 0.3333 0.6667 0.7500
# Density of states at the Fermi level, states/eV/f.u.: 1.35
# V, A^3/atom: 17.10


b:
# PBE UAsN, relaxed
data_UAsN
_chemical_formula_sum 'U4 As4 N4'
_space_group_name_H-M_alt 'C 1 2/m 1'
_space_group_IT_number 12
_cell_length_a 5.359
_cell_length_b 5.360
_cell_length_c 6.910
_cell_angle_alpha 90.00
_cell_angle_beta 90.21
_cell_angle_gamma 90.00
loop_
_space_group_symop_operation_xyz
'x,y,z'
'-x,-y,-z'
'-x,y,-z'
'x,-y,z'
'x+1/2,y+1/2,z'
'-x+1/2,-y+1/2,-z'
'-x+1/2,y+1/2,-z'
'x+1/2,-y+1/2,z'
loop_
_atom_site_label
_atom_site_fract_x
_atom_site_fract_y
_atom_site_fract_z
U1 0.249 0.000 0.326
As1 0.247 0.500 0.122
N1 0.000 0.250 0.500
# Density of states at the Fermi level, states/eV/f.u.: 2.28
# V, A^3/atom: 16.54


Which one sits at the top of the stability order? b does.